1.
The following is a DFT calculation (PBE) of an optimized crystal structure of ReAsCSe2.

The structure belongs to space group P4/mmm (No. 123); the cell edges are 4.8456, 4.8456 and 4.8738 Å and the angles 90.00°, 90.00° and 90.00°. The inequivalent atoms are Re at (0.0000, 0.0000, 0.0000), As at (0.0000, 0.0000, 0.5000), C at (0.5000, 0.5000, 0.5000) and Se at (0.0000, 0.5000, 0.0000).

The distance to the lowest polymorph of the same formula is 0.308 eV per atom. For the density of states at the Fermi level, the calculation gives 4.88 states/eV/cell. The calculation puts the raw formation energy at 1.808 eV per atom. The value obtained for the total energy is -4.850 eV/atom.

2.
The following is a DFT calculation (PBE) of an optimized crystal structure of Sr2ReAsC.

The structure belongs to space group P4/mmm (No. 123); the cell edges are 5.9916, 5.9916 and 3.8780 Å and the angles 90.00°, 90.00° and 90.00°. The inequivalent atoms are Sr at (0.0000, 0.5000, 0.0000), Re at (0.0000, 0.0000, 0.0000), As at (0.5000, 0.5000, 0.5000) and C at (0.0000, 0.0000, 0.5000).

For the density of states at the Fermi level, the calculation gives 3.84 states/eV/cell. The value obtained for the total energy is -5.386 eV/atom. The calculated formation energy is 0.551 eV per atom.

3.
The following is a DFT calculation (PBE) of an optimized crystal structure of TiRe2AsC.

The structure belongs to space group P4/mmm (No. 123); the cell edges are 4.5179, 4.5179 and 4.6721 Å and the angles 90.00°, 90.00° and 90.00°. The inequivalent atoms are Ti at (0.0000, 0.0000, 0.0000), Re at (0.0000, 0.5000, 0.5000), As at (0.0000, 0.0000, 0.5000) and C at (0.5000, 0.5000, 0.0000).

For the density of states at the Fermi level, the calculation gives 7.91 states/eV/cell. The value obtained for the total energy is -6.880 eV/atom. The calculated formation energy is 2.453 eV per atom.

4.
The following is a DFT calculation (PBE) of an optimized crystal structure of AsRhC3.

The structure belongs to space group Pm-3m (No. 221); the cell edges are 4.0111, 4.0111 and 4.0111 Å and the angles 90.00°, 90.00° and 90.00°. The inequivalent atoms are As at (0.0000, 0.0000, 0.0000), Rh at (0.5000, 0.5000, 0.5000) and C at (0.0000, 0.5000, 0.5000).

The distance to the lowest polymorph of the same formula is 0.000 eV per atom. For the density of states at the Fermi level, the calculation gives 3.48 states/eV/cell. The value obtained for the total energy is -5.569 eV/atom. The calculated formation energy is 2.366 eV per atom.

5.
The following is a DFT calculation (PBE) of an optimized crystal structure of AsRh2C.

The structure belongs to space group Fm-3m (No. 225); the cell edges are 5.8897, 5.8897 and 5.8897 Å and the angles 90.00°, 90.00° and 90.00°. The inequivalent atoms are As at (0.0000, 0.0000, 0.0000), Rh at (0.2500, 0.2500, 0.2500) and C at (0.0000, 0.0000, 0.5000).

The distance to the lowest polymorph of the same formula is 0.713 eV per atom. For the density of states at the Fermi level, the calculation gives 16.25 states/eV/cell. The value obtained for the total energy is -6.291 eV/atom. The calculated formation energy is 0.853 eV per atom.

6.
The following is a DFT calculation (PBE) of an optimized crystal structure of As3RhC.

The structure belongs to space group Pm-3m (No. 221); the cell edges are 4.7549, 4.7549 and 4.7549 Å and the angles 90.00°, 90.00° and 90.00°. The inequivalent atoms are As at (0.0000, 0.0000, 0.5000), Rh at (0.0000, 0.0000, 0.0000) and C at (0.5000, 0.5000, 0.5000).

The distance to the lowest polymorph of the same formula is 0.775 eV per atom. For the density of states at the Fermi level, the calculation gives 5.41 states/eV/cell. The value obtained for the total energy is -4.371 eV/atom. The calculated formation energy is 1.734 eV per atom.